Entry 1:
DFT (PBE) results for CsNa4Hg after structural relaxation.

Cell lengths 6.211, 8.536, 11.777 Å; angles 110.59, 105.18, 90.00 degrees
Positions (direct):
Cs 0.785 0.785 0.569
Na 0.412 0.149 0.824
Na 0.588 0.851 0.176
Na 0.129 0.630 0.259
Hg 0.741 0.500 0.000
Cs 0.215 0.215 0.431
Na 0.000 0.187 0.000
Na 0.000 0.813 0.000
Hg 0.259 0.500 0.000
Na 0.411 0.676 0.823
Na 0.589 0.324 0.177
Na 0.871 0.370 0.741

Summary:
Symmetry: P-1 (2)

Entry 2:
DFT (PBE) results for Ca3FeRu after structural relaxation.

Cell lengths 5.355, 5.355, 5.355 Å; angles 90.00, 90.00, 90.00 degrees
Site moments in Bohr magnetons follow the coordinates.
Positions (direct):
Ru 0.000 0.000 0.000  0.06
Ca 0.000 0.500 0.000  -0.02
Fe 0.500 0.500 0.500  3.13
Ca 0.500 0.000 0.000  -0.02
Ca 0.000 0.000 0.500  -0.02

Summary:
Symmetry: Pm-3m (221)

In the order shown, the computed E above lowest polymorph values come out to 0.029; 0.000 eV per atom.
In the order shown, the computed calculated formation energy values come out to -57; 700 meV per atom.
In the order shown, the computed magnetization values come out to 0.00; 0.61 μB per atom.